Here is an optimized crystal structure of LaVPb3 from Alexandria via LeMat-Bulk. Energies are from GGA-PBE.

The space group is Pm-3m (No. 221) and the conventional cell measures 5.287, 5.287 and 5.287 Å, with angles of 90.00, 90.00 and 90.00 degrees. The asymmetric unit holds La at (0.000, 0.000, 0.000), V at (0.500, 0.500, 0.500) and Pb at (0.000, 0.500, 0.500).

As for the uncorrected energy: -4.9330 eV/atom. Its volume is 147.8 Å³/cell. For the spin magnetization, the calculation gives 0.001 μB/atom. Its density of states at the Fermi level is 5.7 states/eV/cell. The value obtained for the offset from the most stable computed form is 0.0 meV/atom. The calculation puts the formation energy at 0.10 eV/atom.

=====

Here is an optimized crystal structure of Ti4C3N from Alexandria via LeMat-Bulk. Energies are from GGA-PBE.

The space group is R-3m (No. 166, hexagonal axes) and the conventional cell measures 3.0490, 3.0490 and 29.9479 Å, with angles of 90.00, 90.00 and 120.00 degrees. The asymmetric unit holds Ti at (0.0000, 0.0000, 0.1242), Ti at (0.0000, 0.0000, 0.3746), C at (0.0000, 0.0000, 0.0000), C at (0.0000, 0.0000, 0.2489) and N at (0.0000, 0.0000, 0.5000).

As for the uncorrected energy: -9.5105 eV/atom. Its volume is 241.1 Å³/cell. For the spin magnetization, the calculation gives 0.000 μB/atom. The calculation puts the formation energy without anion corrections at -8.5 eV per formula unit. Its density of states at the Fermi level is 3.4 states/eV/cell.

=====

Here is an optimized crystal structure of Tb3Ce2ScSe6 from Alexandria via LeMat-Bulk. Energies are from GGA-PBE.

The space group is C2/m (No. 12) and the conventional cell measures 17.874, 4.081 and 8.249 Å, with angles of 90.00, 103.64 and 90.00 degrees. The asymmetric unit holds Tb at (0.000, 0.000, 0.000), Tb at (0.169, 0.500, 0.334), Ce at (0.167, 0.500, 0.835), Sc at (0.000, 0.000, 0.500), Se at (0.003, 0.500, 0.263), Se at (0.161, 0.000, 0.575) and Se at (0.164, 0.000, 0.090).

As for the uncorrected energy: -6.1670 eV/atom. Its volume is 584.7 Å³/cell. For the spin magnetization, the calculation gives 0.182 μB/atom. The calculation puts the formation energy without anion corrections at -21.0 eV per formula unit. Its density of states at the Fermi level is 29.9 states/eV/cell.

=====

Here is an optimized crystal structure of NaNpB12 from Alexandria via LeMat-Bulk. Energies are from GGA-PBE.

The space group is Fm-3m (No. 225) and the conventional cell measures 8.240, 8.240 and 8.240 Å, with angles of 90.00, 90.00 and 90.00 degrees. The asymmetric unit holds Na at (0.000, 0.000, 0.000), Np at (0.000, 0.000, 0.500) and B at (0.100, 0.250, 0.250).

As for the uncorrected energy: -6.9490 eV/atom. Its volume is 559.4 Å³/cell. For the spin magnetization, the calculation gives 0.279 μB/atom. Its density of states at the Fermi level is 29.2 states/eV/cell. The calculation puts the formation energy at -0.21 eV/atom.